*a*
Entry from Alexandria: an optimized crystal structure of Tb4Tm5Tl (GGA-PBE).

Structure (POSCAR):
```
Tb4Tm5Tl
1.0
-2.6140 0.3895 -5.0872
-7.5777 -2.5099 0.4715
-3.5022 7.1341 -0.8843
Tm Tb Tl
5 4 1
direct
0.6654 0.0000 0.0000
0.1408 0.6298 0.0000
0.1408 0.0000 0.6298
0.7706 0.3702 0.0000
0.7706 0.0000 0.3702
0.4597 0.6835 0.3165
0.7762 0.6835 0.6835
0.4598 0.3165 0.6835
0.1432 0.3165 0.3165
0.1831 0.0000 0.0000
```

Values from the calculation:
The calculated volume is 31.9 Å³ per atom.

---

*b*
Entry from Alexandria: an optimized crystal structure of Tb4Tm5Tl (GGA-PBE).

Structure (POSCAR):
```
Tb4Tm5Tl
1.0
-0.6904 -3.1880 -1.3699
1.1982 -1.5299 2.9565
-22.2138 0.7703 9.4018
Tm Tb Tl
5 4 1
direct
0.5000 0.5000 0.2942
0.5000 0.5000 0.7058
0.5000 0.5000 0.0879
0.5000 0.5000 0.9121
0.5000 0.5000 0.5000
0.0000 0.0000 0.1899
0.0000 0.0000 0.8101
0.0000 0.0000 0.3969
0.0000 0.0000 0.6031
0.0000 0.0000 0.0000
```

Values from the calculation:
The calculated volume is 30.2 Å³ per atom.

---

Energy relative to the most stable one, in meV/atom: *a* 185; *b* 0